[1]
Compound: Ba2TiNbCo
Source: Alexandria
Functional: PBE
Structure: relaxed

Structure (POSCAR):
```
Ba2TiNbCo
1.0
6.1279 0.0000 0.0000
0.0000 4.4427 0.0000
0.0000 0.0000 6.1279
Nb Co Ba Ti
1 1 2 1
Direct
0.0000 0.0000 0.0000
0.0000 0.5000 0.0000
0.0000 0.0000 0.5000
0.5000 0.0000 0.0000
0.5000 0.5000 0.5000
```

Computed properties:
- ΔH_f (0 K): 133.44 kJ/mol of atoms



[2]
Compound: LaMn2Pb
Source: Alexandria
Functional: PBE
Structure: relaxed

Structure (POSCAR):
```
LaMn2Pb
1.0
5.6349 -0.0427 0.0187
4.0767 3.8903 0.0187
3.9205 1.5533 4.1385
La Mn Pb
1 2 1
Direct
0.2500 0.2500 0.2500
0.0486 0.0486 0.1199
0.4514 0.4514 0.3801
0.7500 0.7500 0.7500
```

Computed properties:
- ΔH_f (0 K): 31.30 kJ/mol of atoms



[3]
Compound: AlRe2W
Source: Alexandria
Functional: PBE
Structure: relaxed

Structure (POSCAR):
```
AlRe2W
1.0
4.3528 0.0000 0.0000
0.0000 2.7296 -0.0013
0.0000 0.9263 5.0856
Re Al W
2 1 1
Direct
0.0000 0.0283 0.9921
0.0000 0.4717 0.5079
0.5000 0.7500 0.7500
0.5000 0.2500 0.2500
```

Computed properties:
- ΔH_f (0 K): -0.55 kJ/mol of atoms



no.,E_tot (eV/atom),density of states at the Fermi level (states/eV per cell),size of the total moment (μB per atom)
1,-4.400,13.95,0.22
2,-6.419,4.80,0.29
3,-10.404,1.87,0.00